MoPtBr4: optimized geometry, PBE-GGA.

Computed properties:
The calculation puts the total magnetic moment at 4.32 μB per cell. For the raw formation energy, the calculation gives 1523 meV/atom. The symmetry is No. 216. Its total DFT energy (no corrections) is -0.08836 Ha/atom. The calculation puts the density of states at the Fermi level at 11.60 states/eV/cell.

Lattice parameters (Å, degrees): 6.0208 6.0208 6.0208 60.00 60.00 60.00
Atoms (fractional coordinates):
Br: 0.3745 0.3745 0.8764
Pt: 0.0000 0.0000 0.0000
Mo: 0.7500 0.7500 0.7500
Br: 0.3745 0.8764 0.3745
Br: 0.8764 0.3745 0.3745
Br: 0.3745 0.3745 0.3745